An optimized crystal structure of Ce3ZnGe6Ir2, computed with PBE-GGA.

ρ   8.9 g/cm³
Energy of formation   -0.24 eV/atom
Spin magnetization   1.28 μB/cell
Energy   -67.41 eV per cell

```
data_Ce3ZnGe6Ir2
_space_group_name_H-M_alt 'P -3 m 1'
_space_group_IT_number 164
_space_group_name_Hall '-P 3 2"'
_cell_length_a 5.9736
_cell_length_b 5.9736
_cell_length_c 7.9137
_cell_angle_alpha 90.00
_cell_angle_beta 90.00
_cell_angle_gamma 120.00
loop_
_atom_site_label
_atom_site_fract_x
_atom_site_fract_y
_atom_site_fract_z
Ce1 0.0000 0.0000 0.0000
Ce2 0.3333 0.6667 0.6542
Zn1 0.0000 0.0000 0.5000
Ge1 0.1879 0.3758 0.2846
Ir1 0.3333 0.6667 0.0229
```

An optimized crystal structure of FeMo2Ir, computed with PBE-GGA.

ρ   12.6 g/cm³
Energy above the most stable polymorph in this dataset   147 meV per atom
Energy of formation   0.07 eV/atom
Spin magnetization   3.15 μB/cell
Energy   -77.39 eV per cell

```
data_FeMo2Ir
_space_group_name_H-M_alt 'C 1 2/m 1'
_space_group_IT_number 12
_cell_length_a 9.1152
_cell_length_b 2.7621
_cell_length_c 4.6768
_cell_angle_alpha 90.00
_cell_angle_beta 100.02
_cell_angle_gamma 90.00
loop_
_space_group_symop_operation_xyz
'x,y,z'
'-x,-y,-z'
'-x,y,-z'
'x,-y,z'
'x+1/2,y+1/2,z'
'-x+1/2,-y+1/2,-z'
'-x+1/2,y+1/2,-z'
'x+1/2,-y+1/2,z'
loop_
_atom_site_label
_atom_site_fract_x
_atom_site_fract_y
_atom_site_fract_z
Fe1 0.0000 0.0000 0.0000
Mo1 0.2488 0.0000 0.7522
Ir1 0.0000 0.5000 0.5000
```

An optimized crystal structure of Pm2DyYEr2, computed with PBE-GGA.

ρ   7.5 g/cm³
Energy of formation   0.06 eV/atom
Spin magnetization   0.00 μB/cell
Energy   -58.61 eV per cell

```
data_Pm2DyYEr2
_space_group_name_H-M_alt 'P m m a'
_space_group_IT_number 51
_cell_length_a 7.0092
_cell_length_b 5.6402
_cell_length_c 9.7600
_cell_angle_alpha 90.00
_cell_angle_beta 90.00
_cell_angle_gamma 90.00
loop_
_space_group_symop_operation_xyz
'x,y,z'
'-x,-y,-z'
'-x+1/2,-y,z'
'x+1/2,y,-z'
'x+1/2,-y,-z'
'-x+1/2,y,z'
'-x,y,-z'
'x,-y,z'
loop_
_atom_site_label
_atom_site_fract_x
_atom_site_fract_y
_atom_site_fract_z
Pm1 0.0000 0.0000 0.0000
Pm2 0.2500 0.5000 0.1745
Dy1 0.2500 0.0000 0.6607
Y1 0.0000 0.5000 0.5000
Er1 0.2500 0.0000 0.3313
Er2 0.2500 0.5000 0.8365
```

- Look up the spin magnetization of the second one.
  3.15 μB/cell

- The lowest ρ belongs to which entry?
  Pm2DyYEr2

- What is the energy of formation in the first record?
  -0.24 eV/atom

- Look up the spin magnetization of the third one.
  0.00 μB/cell